Entry 1:
Density functional theory data (PBE) for a relaxed structure of HoTiNi2.

Summary:
* energy above the most stable polymorph in this dataset: 0.00 eV per formula unit
* M_tot: 0.0 μB/f.u.
* uncorrected energy: -76.659 eV/cell
* ΔH_f (0 K): -379 meV per atom

```
data_HoTiNi2
_cell_length_a 4.1886
_cell_length_b 4.1886
_cell_length_c 13.7283
_cell_angle_alpha 90.00
_cell_angle_beta 90.00
_cell_angle_gamma 120.00
_space_group_name_H-M_alt 'R -3 m'
_space_group_IT_number 166
_space_group_name_Hall '-R 3 2"'
loop_
_atom_site_label
_atom_site_fract_x
_atom_site_fract_y
_atom_site_fract_z
Ho1 0.0000 0.0000 0.0000
Ti1 0.0000 0.0000 0.5000
Ni1 0.0000 0.0000 0.2059
```



Entry 2:
Density functional theory data (PBE) for a relaxed structure of HoTiNi.

Summary:
* energy above the most stable polymorph in this dataset: 0.27 eV per formula unit
* M_tot: 1.2 μB/f.u.
* uncorrected energy: -37.108 eV/cell
* ΔH_f (0 K): -100 meV per atom

```
data_HoTiNi
_cell_length_a 3.2384
_cell_length_b 3.2384
_cell_length_c 10.7305
_cell_angle_alpha 90.00
_cell_angle_beta 90.00
_cell_angle_gamma 90.00
_space_group_name_H-M_alt 'P 4/m m m'
_space_group_IT_number 123
_space_group_name_Hall '-P 4 2'
loop_
_atom_site_label
_atom_site_fract_x
_atom_site_fract_y
_atom_site_fract_z
Ho1 0.0000 0.0000 0.1593
Ti1 0.5000 0.5000 0.3744
Ni1 0.0000 0.0000 0.5000
Ni2 0.5000 0.5000 0.0000
```



Question: Among the records above, which one has the lowest uncorrected energy?
Answer: HoTiNi2



Question: Which formula does entry 2 have?
Answer: HoTiNi



Question: What is the formula in the first record?
Answer: HoTiNi2